Version i
Below is TlTcBr at its PBEsol-relaxed geometry, with properties calculated at the meta-GGA SCAN level.

Computed properties:
The calculation puts the spin magnetization at 3.67 μB per cell. The space group is No. 216. The calculated density is 7.950 Mg/m³.

Cell lengths 4.8335, 4.8335, 4.8335 Å; angles 60.00, 60.00, 60.00 degrees
Site moments in Bohr magnetons follow the coordinates.
Positions (direct):
Tl: 0.2500 0.2500 0.2500  -0.03
Tc: 0.5000 0.5000 0.5000  3.31
Br: 0.0000 0.0000 0.0000  0.11

Version ii
Below is TlTcBr at its PBEsol-relaxed geometry, with properties calculated at the meta-GGA SCAN level.

Computed properties:
The calculation puts the spin magnetization at 2.58 μB per cell. The space group is No. 187. The calculated density is 10.739 Mg/m³.

Cell lengths 3.2284, 4.5982, 4.5982 Å; angles 120.00, 90.00, 90.00 degrees
Site moments in Bohr magnetons follow the coordinates.
Positions (direct):
Tl: 0.5000 0.6667 0.3333  -0.02
Tc: 0.0000 0.3333 0.6667  2.45
Br: 0.0000 0.0000 0.0000  0.09

Relative calculated energies, zero for the most stable structure, unit meV/atom: version i 486; version ii 0.

Version i
Below is Tc2WBr at its PBEsol-relaxed geometry, with properties calculated at the meta-GGA SCAN level.

Computed properties:
The calculation puts the spin magnetization at 0.00 μB per cell. The space group is No. 47. The calculated density is 12.694 Mg/m³.

Cell lengths 2.9319, 4.4470, 4.6126 Å; angles 90.00, 90.00, 90.00 degrees
Positions (direct):
Br: 0.0000 0.5000 0.5000
Tc: 0.0000 0.0000 0.0000
Tc: 0.5000 0.0000 0.5000
W: 0.5000 0.5000 0.0000

Version ii
Below is Tc2WBr at its PBEsol-relaxed geometry, with properties calculated at the meta-GGA SCAN level.

Computed properties:
The calculation puts the spin magnetization at 0.00 μB per cell. The space group is No. 8. The calculated density is 12.106 Mg/m³.

Cell lengths 2.9662, 4.3532, 5.1106 Å; angles 92.91, 106.87, 90.00 degrees
Positions (direct):
Br: 0.2471 0.7608 0.4942
Tc: 0.0301 0.0335 0.0603
Tc: 0.7540 0.2346 0.5080
W: 0.4688 0.4712 0.9375

Relative calculated energies, zero for the most stable structure, unit meV/atom: version i 213; version ii 0.

Version i
Below is Tc2WBr at its PBEsol-relaxed geometry, with properties calculated at the meta-GGA SCAN level.

Computed properties:
The calculation puts the spin magnetization at 0.00 μB per cell. The space group is No. 160. The calculated density is 12.382 Mg/m³.

Cell lengths 2.8771, 2.8771, 8.7595 Å; angles 80.55, 80.55, 60.00 degrees
Positions (direct):
Br: 0.2490 0.2490 0.2531
Tc: 0.0035 0.0035 0.9895
Tc: 0.7473 0.7473 0.7581
W: 0.5002 0.5002 0.4994

Version ii
Below is Tc2WBr at its PBEsol-relaxed geometry, with properties calculated at the meta-GGA SCAN level.

Computed properties:
The calculation puts the spin magnetization at 0.00 μB per cell. The space group is No. 123. The calculated density is 12.611 Mg/m³.

Cell lengths 3.0019, 4.4907, 4.4907 Å; angles 90.00, 90.00, 90.00 degrees
Positions (direct):
Br: 0.5000 0.0000 0.0000
Tc: 0.0000 0.0000 0.5000
Tc: 0.0000 0.5000 0.0000
W: 0.5000 0.5000 0.5000

Relative calculated energies, zero for the most stable structure, unit meV/atom: version i 0; version ii 318.